Computed, not measured: crystalline LiMoNO2 at its relaxed geometry at the PBE+U level of DFT.

Cell: 3.921 3.921 3.916 Å, 90.00 90.00 90.00°
Space group P4/mmm (No. 123)
Symmetry-distinct sites (fractional):
Li: 0.000 0.000 0.000
Mo: 0.500 0.500 0.500
N: 0.500 0.500 0.000
O: 0.000 0.500 0.500

Summary:
Magnetic moment   0.000 μB per formula unit
VASP energy   -31.8 eV per cell
Crystal system   tetragonal